Below is LiTiB after structural relaxation, with properties calculated at the PBE-GGA level.

Calculated values
crystal system = monoclinic
energy relative to the elements = -0.27 eV/f.u.
magnetization = 0.0 Bohr magnetons per cell
E above lowest polymorph = 7.394 kcal/mol of atoms
raw total energy = -5.587 eV per atom

abc: 3.1507 3.1517 9.3916
angles: 90.00 90.06 90.00
Space group P2_1/m (No. 11)
One atom of each set of equivalent atoms:
Li 0.2491 0.2500 0.1316 [2 per cell]
Ti 0.2503 0.2500 0.6111 [2 per cell]
B 0.2496 0.2500 0.3670 [2 per cell]